Entry 1:
! GGA-PBE HfCd2As, optimized geometry; values from VASP
! SG = No. 216
! Electronic total energy = -3.996 eV per atom
! Crystal system = cubic
&SYSTEM
  ibrav = 0, nat = 4, ntyp = 3
/
ATOMIC_SPECIES
Hf 178.49 Hf.upf
Cd 112.41 Cd.upf
As 74.92 As.upf
CELL_PARAMETERS angstrom
0.000 3.453 3.453
3.453 0.000 3.453
3.453 3.453 0.000
ATOMIC_POSITIONS angstrom
Hf 0.000 0.000 0.000
Cd 1.726 1.726 1.726
Cd 3.453 3.453 3.453
As 5.179 5.179 5.179

---

Entry 2:
! GGA-PBE TlOs2, optimized geometry; values from VASP
! SG = No. 227
! Crystal system = cubic
! Energy above the most stable polymorph in this dataset = 3347.7 meV/atom
&SYSTEM
  ibrav = 0, nat = 6, ntyp = 2
/
ATOMIC_SPECIES
Tl 204.38 Tl.upf
Os 190.23 Os.upf
CELL_PARAMETERS angstrom
0.000 6.120 6.120
6.120 0.000 6.120
6.120 6.120 0.000
ATOMIC_POSITIONS angstrom
Tl 1.530 1.530 1.530
Tl 10.711 10.711 10.711
Os 0.000 0.000 0.000
Os 3.060 3.060 0.000
Os 3.060 0.000 3.060
Os 0.000 3.060 3.060

---

Entry 3:
! GGA-PBE BaCoPb2, optimized geometry; values from VASP
! SG = No. 216
! Electronic total energy = -3.722 eV per atom
! Crystal system = cubic
&SYSTEM
  ibrav = 0, nat = 4, ntyp = 3
/
ATOMIC_SPECIES
Ba 137.33 Ba.upf
Co 58.93 Co.upf
Pb 207.20 Pb.upf
CELL_PARAMETERS angstrom
0.000 3.840 3.840
3.840 0.000 3.840
3.840 3.840 0.000
ATOMIC_POSITIONS angstrom
Ba 0.000 0.000 0.000
Co 1.920 1.920 1.920
Pb 3.840 3.840 3.840
Pb 5.760 5.760 5.760

---

Entry 4:
! GGA-PBE RbPa, optimized geometry; values from VASP
! SG = No. 225
! Crystal system = cubic
! Energy above the most stable polymorph in this dataset = 1452.7 meV/atom
&SYSTEM
  ibrav = 0, nat = 2, ntyp = 2
/
ATOMIC_SPECIES
Rb 85.47 Rb.upf
Pa 231.04 Pa.upf
CELL_PARAMETERS angstrom
0.000 3.410 3.410
3.410 0.000 3.410
3.410 3.410 0.000
ATOMIC_POSITIONS angstrom
Rb 0.000 0.000 0.000
Pa 3.410 3.410 3.410

---

Entry 5:
! GGA-PBE TbSbNO, optimized geometry; values from VASP
! SG = No. 26
! Crystal system = orthorhombic
! Energy above the most stable polymorph in this dataset = 182.1 meV/atom
&SYSTEM
  ibrav = 0, nat = 8, ntyp = 4
/
ATOMIC_SPECIES
Tb 158.93 Tb.upf
Sb 121.76 Sb.upf
N 14.01 N.upf
O 16.00 O.upf
CELL_PARAMETERS angstrom
3.704 0.000 0.000
0.000 6.640 0.000
0.000 0.000 5.736
ATOMIC_POSITIONS angstrom
Tb 0.000 1.044 0.000
Tb 0.000 5.595 2.868
Sb 1.852 2.292 2.752
Sb 1.852 4.348 5.620
N 0.000 1.191 2.318
N 0.000 5.449 5.186
O 1.852 1.168 4.563
O 1.852 5.472 1.696

---

Entry 6:
! GGA-PBE ErTmGa2Ir4, optimized geometry; values from VASP
! SG = No. 187
! Electronic total energy = -6.914 eV per atom
! Crystal system = hexagonal
&SYSTEM
  ibrav = 0, nat = 8, ntyp = 4
/
ATOMIC_SPECIES
Er 167.26 Er.upf
Tm 168.93 Tm.upf
Ga 69.72 Ga.upf
Ir 192.22 Ir.upf
CELL_PARAMETERS angstrom
4.332 0.000 0.000
-2.166 3.752 0.000
0.000 0.000 8.854
ATOMIC_POSITIONS angstrom
Er 0.000 0.000 0.000
Tm 2.166 1.251 4.427
Ga 0.000 2.501 2.218
Ga 0.000 2.501 6.636
Ir 0.000 0.000 2.982
Ir 0.000 0.000 5.872
Ir 2.166 1.251 1.464
Ir 2.166 1.251 7.390